Record 1
# In7AgHg6 (PBE, relaxed)
# Total moment = 0.0 μB/f.u.
data_In7AgHg6
_chemical_formula_sum 'In28 Ag4 Hg24'
_space_group_name_H-M_alt 'I b a m'
_space_group_IT_number 72
_space_group_name_Hall '-I 2 2c'
_cell_length_a 6.3208
_cell_length_b 20.3479
_cell_length_c 11.8599
_cell_angle_alpha 90.00
_cell_angle_beta 90.00
_cell_angle_gamma 90.00
loop_
_atom_site_label
_atom_site_type_symbol
_atom_site_fract_x
_atom_site_fract_y
_atom_site_fract_z
In1 In 0.0000 0.0000 0.2500
In2 In 0.1248 0.2661 0.1300
In3 In 0.2389 0.4943 0.5000
Ag1 Ag 0.0000 0.5000 0.2500
Hg1 Hg 0.0893 0.1311 0.5000
Hg2 Hg 0.2310 0.3779 0.3126



Record 2
# In10AgHg6 (PBE, relaxed)
# Total moment = 0.0 μB/f.u.
data_In10AgHg6
_chemical_formula_sum 'In10 Ag1 Hg6'
_space_group_name_H-M_alt 'P -3 1 m'
_space_group_IT_number 162
_space_group_name_Hall '-P 3 2'
_cell_length_a 8.6334
_cell_length_b 8.6334
_cell_length_c 7.0311
_cell_angle_alpha 90.00
_cell_angle_beta 90.00
_cell_angle_gamma 120.00
loop_
_atom_site_label
_atom_site_type_symbol
_atom_site_fract_x
_atom_site_fract_y
_atom_site_fract_z
In1 In 0.0000 0.2343 0.3066
In2 In 0.3333 0.6667 0.0000
In3 In 0.3333 0.6667 0.5000
Ag1 Ag 0.0000 0.0000 0.0000
Hg1 Hg 0.0000 0.4096 0.7670



Record 3
# InAg3Hg2 (PBE, relaxed)
# Total moment = 0.0 μB/f.u.
data_InAg3Hg2
_chemical_formula_sum 'In2 Ag6 Hg4'
_space_group_name_H-M_alt 'P -1'
_space_group_IT_number 2
_space_group_name_Hall '-P 1'
_cell_length_a 5.8113
_cell_length_b 5.9100
_cell_length_c 7.9128
_cell_angle_alpha 98.07
_cell_angle_beta 96.40
_cell_angle_gamma 107.35
loop_
_atom_site_label
_atom_site_type_symbol
_atom_site_fract_x
_atom_site_fract_y
_atom_site_fract_z
In1 In 0.2098 0.0904 0.2571
Ag1 Ag 0.2898 0.2808 0.9316
Ag2 Ag 0.2906 0.6144 0.2628
Ag3 Ag 0.2929 0.9489 0.5974
Hg1 Hg 0.2131 0.4234 0.5904
Hg2 Hg 0.2156 0.7562 0.9230



Record 4
# InAg2Hg (PBE, relaxed)
# Total moment = 0.0 μB/f.u.
# Energy above the lowest structure with this stoichiometry = 8.0 meV/atom
data_InAg2Hg
_chemical_formula_sum 'In4 Ag8 Hg4'
_space_group_name_H-M_alt 'P 1 2/c 1'
_space_group_IT_number 13
_space_group_name_Hall '-P 2yc'
_cell_length_a 6.4351
_cell_length_b 5.1238
_cell_length_c 10.1897
_cell_angle_alpha 90.00
_cell_angle_beta 90.08
_cell_angle_gamma 90.00
loop_
_atom_site_label
_atom_site_type_symbol
_atom_site_fract_x
_atom_site_fract_y
_atom_site_fract_z
In1 In 0.1463 0.0544 0.3743
Ag1 Ag 0.3879 0.4354 0.8771
Ag2 Ag 0.3888 0.0641 0.1230
Hg1 Hg 0.1435 0.4458 0.6257



Record 5
# In2Ag8Hg (PBE, relaxed)
# Total moment = 0.0 μB/f.u.
data_In2Ag8Hg
_chemical_formula_sum 'In4 Ag16 Hg2'
_space_group_name_H-M_alt 'C 1 2/m 1'
_space_group_IT_number 12
_space_group_name_Hall '-C 2y'
_cell_length_a 15.2850
_cell_length_b 4.2736
_cell_length_c 6.7337
_cell_angle_alpha 90.00
_cell_angle_beta 106.49
_cell_angle_gamma 90.00
loop_
_atom_site_label
_atom_site_type_symbol
_atom_site_fract_x
_atom_site_fract_y
_atom_site_fract_z
In1 In 0.2227 0.0000 0.1467
Ag1 Ag 0.0435 0.0000 0.2247
Ag2 Ag 0.0894 0.5000 0.9553
Ag3 Ag 0.1381 0.0000 0.6867
Ag4 Ag 0.1807 0.5000 0.4125
Hg1 Hg 0.0000 0.5000 0.5000



Record 6
# InAgHg (PBE, relaxed)
# Total moment = 0.0 μB/f.u.
# Energy above the lowest structure with this stoichiometry = 66.9 meV/atom
data_InAgHg
_chemical_formula_sum 'In4 Ag4 Hg4'
_space_group_name_H-M_alt 'F m m 2'
_space_group_IT_number 42
_space_group_name_Hall 'F 2 -2'
_cell_length_a 3.6772
_cell_length_b 5.3458
_cell_length_c 14.1934
_cell_angle_alpha 90.00
_cell_angle_beta 90.00
_cell_angle_gamma 90.00
loop_
_atom_site_label
_atom_site_type_symbol
_atom_site_fract_x
_atom_site_fract_y
_atom_site_fract_z
In1 In 0.0000 0.0000 0.0000
Ag1 Ag 0.0000 0.0000 0.3402
Hg1 Hg 0.0000 0.0000 0.6801



Record 7
# In4Ag2Hg (PBE, relaxed)
# Total moment = 0.0 μB/f.u.
data_In4Ag2Hg
_chemical_formula_sum 'In8 Ag4 Hg2'
_space_group_name_H-M_alt 'C 1 2/m 1'
_space_group_IT_number 12
_space_group_name_Hall '-C 2y'
_cell_length_a 14.0113
_cell_length_b 4.4953
_cell_length_c 5.8212
_cell_angle_alpha 90.00
_cell_angle_beta 109.33
_cell_angle_gamma 90.00
loop_
_atom_site_label
_atom_site_type_symbol
_atom_site_fract_x
_atom_site_fract_y
_atom_site_fract_z
In1 In 0.0698 0.0000 0.3586
In2 In 0.1776 0.5000 0.8082
Ag1 Ag 0.2132 0.5000 0.3307
Hg1 Hg 0.0000 0.5000 0.0000



Record 8
# K2InAgHg (PBE, relaxed)
# Total moment = 0.0 μB/f.u.
data_K2InAgHg
_chemical_formula_sum 'K2 In1 Ag1 Hg1'
_space_group_name_H-M_alt 'P 4/m m m'
_space_group_IT_number 123
_space_group_name_Hall '-P 4 2'
_cell_length_a 6.4585
_cell_length_b 6.4585
_cell_length_c 5.2494
_cell_angle_alpha 90.00
_cell_angle_beta 90.00
_cell_angle_gamma 90.00
loop_
_atom_site_label
_atom_site_type_symbol
_atom_site_fract_x
_atom_site_fract_y
_atom_site_fract_z
K1 K 0.0000 0.5000 0.0000
In1 In 0.0000 0.0000 0.5000
Ag1 Ag 0.0000 0.0000 0.0000
Hg1 Hg 0.5000 0.5000 0.5000



Record 9
# KInAgHg (PBE, relaxed)
# Total moment = 0.0 μB/f.u.
data_KInAgHg
_chemical_formula_sum 'K4 In4 Ag4 Hg4'
_space_group_name_H-M_alt 'F -4 3 m'
_space_group_IT_number 216
_space_group_name_Hall 'F -4 2 3'
_cell_length_a 7.5910
_cell_length_b 7.5910
_cell_length_c 7.5910
_cell_angle_alpha 90.00
_cell_angle_beta 90.00
_cell_angle_gamma 90.00
loop_
_atom_site_label
_atom_site_type_symbol
_atom_site_fract_x
_atom_site_fract_y
_atom_site_fract_z
K1 K 0.0000 0.0000 0.0000
In1 In 0.0000 0.0000 0.5000
Ag1 Ag 0.2500 0.2500 0.7500
Hg1 Hg 0.2500 0.2500 0.2500



Record 10
# La4In2AgHg (PBE, relaxed)
# Total moment = 1.3 μB/f.u.
data_La4In2AgHg
_chemical_formula_sum 'La12 In6 Ag3 Hg3'
_space_group_name_H-M_alt 'R -3 m'
_space_group_IT_number 166
_space_group_name_Hall '-R 3 2"'
_cell_length_a 5.5479
_cell_length_b 5.5479
_cell_length_c 27.2275
_cell_angle_alpha 90.00
_cell_angle_beta 90.00
_cell_angle_gamma 120.00
loop_
_atom_site_label
_atom_site_type_symbol
_atom_site_fract_x
_atom_site_fract_y
_atom_site_fract_z
La1 La 0.0000 0.0000 0.1235
La2 La 0.0000 0.0000 0.3734
In1 In 0.0000 0.0000 0.2493
Ag1 Ag 0.0000 0.0000 0.0000
Hg1 Hg 0.0000 0.0000 0.5000



| no. | energy of formation from the pure elements (meV/atom) | E_tot (eV per atom) |
| --- | --- | --- |
| 1 | 60 | -1.642 |
| 2 | 35 | -1.850 |
| 3 | 46 | -1.936 |
| 4 | 37 | -2.149 |
| 5 | -1 | -2.600 |
| 6 | 91 | -1.873 |
| 7 | 18 | -2.404 |
| 8 | 36 | -1.581 |
| 9 | -6 | -1.753 |
| 10 | -439 | -3.981 |